A plane-wave DFT calculation with PBE was carried out for a relaxed Gd2Sc4C crystal.

Calculated values
energy relative to the elements = 0.04 eV per formula unit
crystal system = tetragonal
theoretical density = 4.64 g/cm³

abc: 4.498 4.498 9.509
angles: 76.32 76.32 90.00
Last column: magnetic moment on the atom in μB.
Fractional positions:
Sc 0.123 0.123 0.754  0.36
Sc 0.877 0.877 0.246  0.36
Sc 0.000 0.500 0.000  0.21
Sc 0.500 0.000 0.000  0.21
C 0.000 0.000 0.000  -0.01
Gd 0.316 0.316 0.368  7.47
Gd 0.684 0.684 0.632  7.47

=====

A plane-wave DFT calculation with PBE was carried out for a relaxed Gd2CSe crystal.

Calculated values
crystal system = trigonal
theoretical density = 8.01 g/cm³
E_form (uncorrected) = -1112 meV per atom

abc: 3.816 3.816 7.023
angles: 74.23 74.23 60.00
Last column: magnetic moment on the atom in μB.
Fractional positions:
C 0.000 0.000 0.000  -0.10
Gd 0.265 0.265 0.204  6.98
Gd 0.735 0.735 0.796  6.98
Se 0.500 0.500 0.500  -0.03

=====

A plane-wave DFT calculation with PBE was carried out for a relaxed Gd12Si3C5 crystal.

Calculated values
crystal system = cubic
theoretical density = 7.04 g/cm³
E_form (uncorrected) = -297 meV per atom

abc: 13.552 13.552 13.552
angles: 109.47 109.47 109.47
Last column: magnetic moment on the atom in μB.
Fractional positions:
Si 0.750 0.375 0.125  -0.06
Si 0.875 0.750 0.125  -0.06
Si 0.375 0.750 0.625  -0.06
Si 0.250 0.125 0.375  -0.06
Si 0.875 0.125 0.250  -0.06
Si 0.375 0.625 0.250  -0.06
Si 0.625 0.375 0.750  -0.06
Si 0.125 0.875 0.750  -0.06
Si 0.750 0.875 0.625  -0.06
Si 0.625 0.250 0.375  -0.06
Si 0.125 0.250 0.875  -0.06
Si 0.250 0.625 0.875  -0.06
Gd 0.706 0.120 0.025  7.11
Gd 0.319 0.525 0.406  7.11
Gd 0.975 0.380 0.294  7.11
Gd 0.525 0.206 0.120  7.11
Gd 0.586 0.706 0.681  7.11
Gd 0.975 0.594 0.181  7.11
Gd 0.319 0.794 0.414  7.11
Gd 0.094 0.914 0.120  7.11
Gd 0.594 0.975 0.681  7.11
Gd 0.706 0.586 0.181  7.11
Gd 0.794 0.475 0.380  7.11
Gd 0.819 0.906 0.025  7.11
Gd 0.120 0.706 0.525  7.11
Gd 0.380 0.406 0.086  7.11
Gd 0.086 0.906 0.380  7.11
Gd 0.414 0.120 0.594  7.11
Gd 0.086 0.181 0.206  7.11
Gd 0.475 0.681 0.094  7.11
Gd 0.819 0.914 0.294  7.11
Gd 0.120 0.414 0.094  7.11
Gd 0.380 0.975 0.794  7.11
Gd 0.594 0.620 0.414  7.11
Gd 0.906 0.819 0.525  7.11
Gd 0.794 0.319 0.914  7.11
Gd 0.406 0.380 0.586  7.11
Gd 0.094 0.181 0.475  7.11
Gd 0.206 0.681 0.086  7.11
Gd 0.181 0.086 0.706  7.11
Gd 0.620 0.025 0.206  7.11
Gd 0.880 0.586 0.906  7.11
Gd 0.525 0.319 0.906  7.11
Gd 0.586 0.880 0.406  7.11
Gd 0.914 0.819 0.794  7.11
Gd 0.914 0.094 0.620  7.11
Gd 0.880 0.294 0.475  7.11
Gd 0.181 0.094 0.975  7.11
Gd 0.620 0.594 0.914  7.11
Gd 0.406 0.025 0.319  7.11
Gd 0.294 0.414 0.819  7.11
Gd 0.206 0.525 0.620  7.11
Gd 0.906 0.086 0.880  7.11
Gd 0.681 0.206 0.586  7.11
Gd 0.475 0.794 0.880  7.11
Gd 0.025 0.406 0.819  7.11
Gd 0.414 0.294 0.319  7.11
Gd 0.025 0.620 0.706  7.11
Gd 0.681 0.475 0.594  7.11
Gd 0.294 0.880 0.975  7.11
C 0.125 0.375 0.250  -0.11
C 0.000 0.500 0.000  -0.12
C 0.000 0.000 0.000  -0.12
C 0.375 0.250 0.125  -0.11
C 0.500 0.000 0.500  -0.12
C 0.500 0.500 0.000  -0.12
C 0.125 0.750 0.375  -0.11
C 0.750 0.125 0.875  -0.11
C 0.750 0.625 0.375  -0.11
C 0.375 0.125 0.750  -0.11
C 0.625 0.875 0.250  -0.11
C 0.500 0.500 0.500  -0.12
C 0.500 0.000 0.000  -0.12
C 0.000 0.000 0.500  -0.12
C 0.250 0.375 0.625  -0.11
C 0.250 0.875 0.125  -0.11
C 0.000 0.500 0.500  -0.12
C 0.875 0.250 0.625  -0.11
C 0.625 0.750 0.875  -0.11
C 0.875 0.625 0.750  -0.11

=====

Among the records above, which one has the lowest theoretical density?
Gd2Sc4C